Entry 1:
Here is Er2Mn9Tc after structural relaxation from Alexandria. Energies are from PBE-GGA.

Structure (CIF):
```
data_Er2Mn9Tc
_chemical_formula_sum 'Er2 Mn9 Tc1'
_space_group_name_H-M_alt 'P 1'
_space_group_IT_number 1
_cell_length_a 6.468
_cell_length_b 6.468
_cell_length_c 8.665
_cell_angle_alpha 50.98
_cell_angle_beta 50.98
_cell_angle_gamma 46.51
loop_
_space_group_symop_operation_xyz
'x,y,z'
loop_
_atom_site_label
_atom_site_type_symbol
_atom_site_fract_x
_atom_site_fract_y
_atom_site_fract_z
Er1 Er 0.084 0.084 0.618
Mn1 Mn 0.498 0.022 0.829
Mn2 Mn 0.502 0.978 0.171
Er2 Er 0.916 0.916 0.382
Mn3 Mn 0.595 0.594 0.130
Mn4 Mn 0.500 0.500 0.500
Mn5 Mn 0.389 0.389 0.186
Tc1 Tc 0.000 0.000 0.000
Mn6 Mn 0.978 0.502 0.171
Mn7 Mn 0.611 0.611 0.814
Mn8 Mn 0.022 0.498 0.829
Mn9 Mn 0.405 0.406 0.870
```

**Calculated formation energy**: 0.328 eV/atom

***

Entry 2:
Here is La2PtBr after structural relaxation from Alexandria. Energies are from PBE-GGA.

Structure (CIF):
```
data_La2PtBr
_chemical_formula_sum 'La2 Pt1 Br1'
_space_group_name_H-M_alt 'P 1'
_space_group_IT_number 1
_cell_length_a 5.506
_cell_length_b 5.506
_cell_length_c 5.506
_cell_angle_alpha 131.71
_cell_angle_beta 112.73
_cell_angle_gamma 87.03
loop_
_space_group_symop_operation_xyz
'x,y,z'
loop_
_atom_site_label
_atom_site_type_symbol
_atom_site_fract_x
_atom_site_fract_y
_atom_site_fract_z
Br1 Br 0.750 0.250 0.500
La1 La 0.012 0.012 0.000
La2 La 0.488 0.488 0.000
Pt1 Pt 0.250 0.750 0.500
```

**E_form (uncorrected)**: -1058 meV/atom
**Energy above the lowest structure with this stoichiometry**: 291 meV/atom

***

Please write out number 2 again, unchanged.
Here is La2PtBr after structural relaxation from Alexandria. Energies are from PBE-GGA.

Structure (CIF):
```
data_La2PtBr
_chemical_formula_sum 'La2 Pt1 Br1'
_space_group_name_H-M_alt 'P 1'
_space_group_IT_number 1
_cell_length_a 5.506
_cell_length_b 5.506
_cell_length_c 5.506
_cell_angle_alpha 131.71
_cell_angle_beta 112.73
_cell_angle_gamma 87.03
loop_
_space_group_symop_operation_xyz
'x,y,z'
loop_
_atom_site_label
_atom_site_type_symbol
_atom_site_fract_x
_atom_site_fract_y
_atom_site_fract_z
Br1 Br 0.750 0.250 0.500
La1 La 0.012 0.012 0.000
La2 La 0.488 0.488 0.000
Pt1 Pt 0.250 0.750 0.500
```

**E_form (uncorrected)**: -1058 meV/atom
**Energy above the lowest structure with this stoichiometry**: 291 meV/atom